Entry 1:
! GGA-PBE CsIn12Sn4, relaxed; values from VASP
! Crystal system: cubic
&SYSTEM
  ibrav = 0, nat = 17, ntyp = 3
/
ATOMIC_SPECIES
In 114.82 In.upf
Cs 132.91 Cs.upf
Sn 118.71 Sn.upf
CELL_PARAMETERS angstrom
8.9295 0.0000 0.0000
-2.9765 8.4188 0.0000
-2.9765 -4.2094 7.2909
ATOMIC_POSITIONS angstrom
In 1.7298 0.5918 6.2202
In -0.0186 4.4727 4.6933
In -1.7298 5.6828 2.5976
Cs 0.0000 0.0000 0.0000
In 4.7063 -1.4733 4.6933
In 1.2467 3.6176 1.0707
In 0.0186 -1.8282 6.2202
Sn -1.4882 -2.1047 3.6454
In -1.2467 0.8815 3.6683
In 5.9344 2.1179 1.5268
Sn 4.4647 0.0000 0.0000
Sn 1.4882 2.1047 3.6454
Sn -1.4882 4.2094 0.0000
In 2.9951 -0.2633 2.5975
In -2.9579 2.0915 5.7641
In 4.2232 3.3279 3.6226
In 2.9579 6.0376 1.0707

---

Entry 2:
! GGA-PBE Cs3In5Sn2, relaxed; values from VASP
! Crystal system: orthorhombic
&SYSTEM
  ibrav = 0, nat = 20, ntyp = 3
/
ATOMIC_SPECIES
In 114.82 In.upf
Cs 132.91 Cs.upf
Sn 118.71 Sn.upf
CELL_PARAMETERS angstrom
7.9905 0.0000 0.0000
3.9953 10.0826 0.4062
3.9953 3.0673 9.6133
ATOMIC_POSITIONS angstrom
In 5.9929 9.6760 7.3726
Cs 7.9905 6.4410 8.5425
In 11.9858 7.2725 7.3907
In 7.9905 9.0556 5.0504
In 5.9929 6.5749 5.0098
Cs 7.9905 6.7089 1.4770
Cs 11.9858 9.9455 3.9431
Sn 3.9953 1.3065 2.8621
In 9.9882 9.6760 7.3726
In 9.9882 6.5749 5.0098
In 5.9929 3.4738 2.6469
In 3.9953 5.8774 2.6288
Cs 5.9929 0.0000 0.0000
Sn 7.9905 3.1062 0.5001
Cs 3.9953 3.2044 6.0764
Sn 11.9858 11.8434 7.1574
Sn 7.9905 10.0437 9.5194
In 9.9882 3.4738 2.6469
In 7.9905 4.0942 4.9691
Cs 1.9976 0.0000 0.0000

---

Entry 3:
! GGA-PBE Cs2In12Sn7, relaxed; values from VASP
! Crystal system: trigonal
&SYSTEM
  ibrav = 0, nat = 21, ntyp = 3
/
ATOMIC_SPECIES
Sn 118.71 Sn.upf
Cs 132.91 Cs.upf
In 114.82 In.upf
CELL_PARAMETERS angstrom
4.9078 0.0000 0.0000
0.0000 10.9011 -6.2938
0.0000 0.0000 12.5876
ATOMIC_POSITIONS angstrom
Sn 1.2706 4.3351 -1.2842
Cs 1.2243 3.6337 6.2938
In 3.7951 2.7013 0.0534
In 1.2046 10.1801 1.2670
Sn 1.2706 9.8457 -1.8974
In 1.1128 8.1998 6.2404
In 1.2047 6.9084 -3.1559
In 1.1128 1.3969 10.2749
In 3.7951 9.5042 -3.9811
Sn 3.6373 3.2797 3.1122
In 3.7032 0.7211 5.0268
In 3.7032 3.9928 9.4497
Sn 1.2706 7.6214 3.1816
Sn 3.6373 1.0554 8.1912
Cs 3.6835 7.2674 0.0000
In 1.1128 1.3044 2.3662
Sn 2.4539 0.0000 0.0000
Sn 3.6373 6.5660 7.5780
In 3.7032 6.1873 4.4049
In 3.7951 9.5968 3.9276
In 1.2047 4.7138 1.8889

---

Which size of the total moment belongs to each record? In order, 0.00 0.00 0.00 Bohr magnetons per cell.
Which DFT total energy belongs to each record? In order, -48.686 -50.530 -63.396 eV/cell.